Run a
Material: BiRhIN2
Method: DFT, PBE-GGA
State: relaxed

Results
Density of states at the Fermi level: 3.9 states/eV/cell

Unit cell a=4.237 b=4.237 c=5.375 alpha=90.00 beta=90.00 gamma=90.00
Fractional coordinates of all 5 atoms:
1 Bi 0.000 0.000 0.000
2 Rh 0.500 0.500 0.500
3 I 0.500 0.500 0.000
4 N 0.000 0.500 0.500
5 N 0.500 0.000 0.500



Run b
Material: BiRhIN2
Method: DFT, PBE-GGA
State: relaxed

Results
Density of states at the Fermi level: 4.2 states/eV/cell

Unit cell a=4.212 b=4.212 c=7.115 alpha=90.00 beta=90.00 gamma=90.00
Fractional coordinates of all 5 atoms:
1 Bi 0.000 0.000 0.000
2 Rh 0.500 0.500 0.500
3 I 0.000 0.000 0.500
4 N 0.000 0.500 0.000
5 N 0.500 0.000 0.000



Which structure wins on stability? run a wins.



Run a
Material: BiRuIN2
Method: DFT, PBE-GGA
State: relaxed

Results
Density of states at the Fermi level: 4.8 states/eV/cell

Unit cell a=4.132 b=4.132 c=5.478 alpha=90.00 beta=90.00 gamma=90.00
Fractional coordinates of all 5 atoms:
1 Bi 0.000 0.000 0.000
2 Ru 0.500 0.500 0.500
3 I 0.500 0.500 0.000
4 N 0.000 0.500 0.500
5 N 0.500 0.000 0.500



Run b
Material: BiRuIN2
Method: DFT, PBE-GGA
State: relaxed

Results
Density of states at the Fermi level: 8.2 states/eV/cell

Unit cell a=4.237 b=4.237 c=7.106 alpha=90.00 beta=90.00 gamma=90.00
Fractional coordinates of all 5 atoms:
1 Bi 0.000 0.000 0.000
2 Ru 0.500 0.500 0.500
3 I 0.000 0.000 0.500
4 N 0.000 0.500 0.000
5 N 0.500 0.000 0.000



Which structure wins on stability? run a wins.



Run a
Material: BiSeIN2
Method: DFT, PBE-GGA
State: relaxed

Results
Density of states at the Fermi level: 2.6 states/eV/cell

Unit cell a=4.196 b=4.196 c=5.557 alpha=90.00 beta=90.00 gamma=90.00
Fractional coordinates of all 5 atoms:
1 Bi 0.000 0.000 0.000
2 Se 0.500 0.500 0.000
3 I 0.500 0.500 0.500
4 N 0.000 0.500 0.500
5 N 0.500 0.000 0.500



Run b
Material: BiSeIN2
Method: DFT, PBE-GGA
State: relaxed

Results
Density of states at the Fermi level: 3.9 states/eV/cell

Unit cell a=4.416 b=4.416 c=6.341 alpha=90.00 beta=90.00 gamma=90.00
Fractional coordinates of all 5 atoms:
1 Bi 0.000 0.000 0.000
2 Se 0.000 0.000 0.500
3 I 0.500 0.500 0.500
4 N 0.000 0.500 0.000
5 N 0.500 0.000 0.000



Run c
Material: BiSeIN2
Method: DFT, PBE-GGA
State: relaxed

Results
Density of states at the Fermi level: 3.0 states/eV/cell

Unit cell a=4.274 b=4.274 c=5.469 alpha=90.00 beta=90.00 gamma=90.00
Fractional coordinates of all 5 atoms:
1 Bi 0.000 0.000 0.000
2 Se 0.500 0.500 0.500
3 I 0.500 0.500 0.000
4 N 0.000 0.500 0.500
5 N 0.500 0.000 0.500



Which structure wins on stability? run b wins.



Run a
Material: BiSe2IN
Method: DFT, PBE-GGA
State: relaxed

Results
Density of states at the Fermi level: 6.4 states/eV/cell

Unit cell a=5.631 b=5.631 c=6.248 alpha=90.00 beta=90.00 gamma=90.00
Fractional coordinates of all 5 atoms:
1 Bi 0.000 0.000 0.000
2 Se 0.000 0.500 0.000
3 Se 0.500 0.000 0.000
4 I 0.000 0.000 0.500
5 N 0.500 0.500 0.500



Run b
Material: BiSe2IN
Method: DFT, PBE-GGA
State: relaxed

Results
Density of states at the Fermi level: 6.6 states/eV/cell

Unit cell a=5.682 b=5.682 c=4.426 alpha=90.00 beta=90.00 gamma=90.00
Fractional coordinates of all 5 atoms:
1 Bi 0.000 0.000 0.000
2 Se 0.000 0.500 0.000
3 Se 0.500 0.000 0.000
4 I 0.500 0.500 0.500
5 N 0.000 0.000 0.500



Run c
Material: BiSe2IN
Method: DFT, PBE-GGA
State: relaxed

Results
Density of states at the Fermi level: 2.6 states/eV/cell

Unit cell a=5.593 b=5.593 c=3.951 alpha=90.00 beta=90.00 gamma=90.00
Fractional coordinates of all 5 atoms:
1 Bi 0.000 0.000 0.000
2 Se 0.000 0.500 0.500
3 Se 0.500 0.000 0.500
4 I 0.500 0.500 0.500
5 N 0.500 0.500 0.000



Which structure wins on stability? run c wins.



Run a
Material: SiBiIN2
Method: DFT, PBE-GGA
State: relaxed

Results
Density of states at the Fermi level: 2.3 states/eV/cell

Unit cell a=4.374 b=4.374 c=6.853 alpha=90.00 beta=90.00 gamma=90.00
Fractional coordinates of all 5 atoms:
1 Si 0.000 0.000 0.000
2 Bi 0.500 0.500 0.500
3 I 0.500 0.500 0.000
4 N 0.000 0.500 0.500
5 N 0.500 0.000 0.500



Run b
Material: SiBiIN2
Method: DFT, PBE-GGA
State: relaxed

Results
Density of states at the Fermi level: 3.8 states/eV/cell

Unit cell a=4.080 b=4.080 c=5.225 alpha=90.00 beta=90.00 gamma=90.00
Fractional coordinates of all 5 atoms:
1 Si 0.000 0.000 0.000
2 Bi 0.500 0.500 0.500
3 I 0.000 0.000 0.500
4 N 0.000 0.500 0.000
5 N 0.500 0.000 0.000



Which structure wins on stability? run b wins.



Run a
Material: SiBiI2N
Method: DFT, PBE-GGA
State: relaxed

Results
Density of states at the Fermi level: 4.0 states/eV/cell

Unit cell a=6.332 b=6.332 c=4.188 alpha=90.00 beta=90.00 gamma=90.00
Fractional coordinates of all 5 atoms:
1 Si 0.000 0.000 0.000
2 Bi 0.500 0.500 0.500
3 I 0.000 0.500 0.500
4 I 0.500 0.000 0.500
5 N 0.500 0.500 0.000



Run b
Material: SiBiI2N
Method: DFT, PBE-GGA
State: relaxed

Results
Density of states at the Fermi level: 3.1 states/eV/cell

Unit cell a=6.048 b=6.048 c=3.418 alpha=90.00 beta=90.00 gamma=90.00
Fractional coordinates of all 5 atoms:
1 Si 0.000 0.000 0.000
2 Bi 0.500 0.500 0.500
3 I 0.000 0.500 0.000
4 I 0.500 0.000 0.000
5 N 0.000 0.000 0.500



Which structure wins on stability? run b wins.